Entry 1:
{"formula": "BaInPt2", "functional": "PBEsol", "state": "optimized geometry", "delta_e_f_ev_per_atom": -0.14, "sg": "No. 119", "lattice_angstrom": [[4.260, 0.000, 0.000], [0.000, 4.260, 0.000], [0.000, 0.000, 9.685]], "species": ["Ba", "Ba", "In", "In", "Pt", "Pt", "Pt", "Pt"], "frac_coords": [[0.000, 0.000, 0.000], [0.500, 0.500, 0.500], [0.000, 0.500, 0.250], [0.500, 0.000, 0.750], [0.000, 0.000, 0.500], [0.000, 0.500, 0.750], [0.500, 0.000, 0.250], [0.500, 0.500, 0.000]]}

---

Entry 2:
{"formula": "Ba2InPt", "functional": "PBEsol", "state": "optimized geometry", "delta_e_f_ev_per_atom": -0.50, "sg": "No. 38", "lattice_angstrom": [[4.504, 0.000, 0.000], [0.000, 5.074, 0.000], [0.000, 0.000, 11.790]], "species": ["Ba", "Ba", "Ba", "Ba", "In", "In", "Pt", "Pt"], "frac_coords": [[0.000, 0.000, 0.000], [0.000, 0.500, 0.500], [0.500, 0.000, 0.293], [0.500, 0.500, 0.793], [0.500, 0.000, 0.596], [0.500, 0.500, 0.096], [0.000, 0.000, 0.722], [0.000, 0.500, 0.222]]}

---

Entry 3:
{"formula": "Ba2InPt2", "functional": "PBEsol", "state": "optimized geometry", "delta_e_f_ev_per_atom": -0.48, "sg": "No. 139", "lattice_angstrom": [[6.156, 0.000, 0.000], [0.000, 6.156, 0.000], [0.000, 0.000, 7.920]], "species": ["Ba", "Ba", "Ba", "Ba", "In", "In", "Pt", "Pt", "Pt", "Pt"], "frac_coords": [[0.000, 0.500, 0.250], [0.000, 0.500, 0.750], [0.500, 0.000, 0.250], [0.500, 0.000, 0.750], [0.000, 0.000, 0.000], [0.500, 0.500, 0.500], [0.000, 0.000, 0.334], [0.000, 0.000, 0.666], [0.500, 0.500, 0.166], [0.500, 0.500, 0.834]]}

---

Entry 4:
{"formula": "RbBaIn3", "functional": "PBEsol", "state": "optimized geometry", "delta_e_f_ev_per_atom": 0.55, "sg": "No. 221", "lattice_angstrom": [[5.999, 0.000, 0.000], [0.000, 5.999, 0.000], [0.000, 0.000, 5.999]], "species": ["Rb", "Ba", "In", "In", "In"], "frac_coords": [[0.000, 0.000, 0.000], [0.500, 0.500, 0.500], [0.000, 0.000, 0.500], [0.000, 0.500, 0.000], [0.500, 0.000, 0.000]]}

---

Mass density? In order: 12.14 7.20 8.63 4.36 g cm⁻³.
Total magnetization? In order: 0.0 0.0 0.0 0.0 μB per formula unit.
Electronic total energy? In order: -39.3 -32.5 -47.2 -9.4 eV/cell.